A plane-wave DFT calculation with meta-GGA SCAN was carried out for Sr3LaCl at its PBEsol-relaxed geometry.

Structure (POSCAR):
```
Sr3LaCl
1.0
-2.288 3.259 4.321
-3.778 -4.321 1.260
3.877 -2.288 3.778
Sr Cl La
3 1 1
direct
0.000 0.500 0.000 Sr
0.000 0.000 0.500 Sr
0.500 0.000 0.000 Sr
0.000 0.000 0.000 Cl
0.500 0.500 0.500 La
```

Summary:
Magnetic moment   2.38 Bohr magnetons per cell
V   40.58 Å³/atom
DOS at the Fermi energy   1.3779 states/eV per atom
Raw total energy   -0.889 Ha/atom



A plane-wave DFT calculation with meta-GGA SCAN was carried out for BaTa2As at its PBEsol-relaxed geometry.

Structure (POSCAR):
```
BaTa2As
1.0
-1.063 3.154 -0.338
-2.401 0.728 -2.213
-7.554 -0.169 5.612
As Ba Ta
1 1 2
direct
0.500 0.500 0.500 As
0.000 0.000 0.000 Ba
0.229 0.229 0.314 Ta
0.771 0.771 0.686 Ta
```

Summary:
Magnetic moment   0.00 Bohr magnetons per cell
Energy relative to the elements   678 meV per atom
V   22.32 Å³/atom
DOS at the Fermi energy   0.9046 states/eV per atom
Raw total energy   -1.747 Ha/atom



A plane-wave DFT calculation with meta-GGA SCAN was carried out for MgTi2Be2 at its PBEsol-relaxed geometry.

Structure (POSCAR):
```
MgTi2Be2
1.0
-1.462 1.800 -1.982
2.821 -3.366 -5.138
-5.220 -4.295 -0.052
Be Mg Ti
4 2 4
direct
0.000 0.386 0.886 Be
0.000 0.886 0.614 Be
0.000 0.614 0.114 Be
0.000 0.114 0.386 Be
0.000 0.000 0.000 Mg
0.000 0.500 0.500 Mg
0.500 0.176 0.676 Ti
0.500 0.676 0.824 Ti
0.500 0.824 0.324 Ti
0.500 0.324 0.176 Ti
```

Summary:
Magnetic moment   0.00 Bohr magnetons per cell
Energy relative to the elements   15 meV per atom
V   13.94 Å³/atom
DOS at the Fermi energy   0.9627 states/eV per atom
Raw total energy   -0.336 Ha/atom



A plane-wave DFT calculation with meta-GGA SCAN was carried out for Sr2SeI at its PBEsol-relaxed geometry.

Structure (POSCAR):
```
Sr2SeI
1.0
5.495 0.000 0.000
2.747 4.759 0.000
2.747 1.586 4.486
I Sr Se
1 2 1
direct
0.500 0.500 0.500 I
0.250 0.250 0.250 Sr
0.750 0.750 0.750 Sr
0.000 0.000 0.000 Se
```

Summary:
Magnetic moment   0.00 Bohr magnetons per cell
V   29.33 Å³/atom
DOS at the Fermi energy   0.4865 states/eV per atom
Raw total energy   -0.986 Ha/atom



A plane-wave DFT calculation with meta-GGA SCAN was carried out for TaSb2Os at its PBEsol-relaxed geometry.

Structure (POSCAR):
```
TaSb2Os
1.0
3.067 0.000 0.000
0.000 3.067 0.000
0.000 0.000 8.693
Os Sb Ta
1 2 1
direct
0.500 0.500 0.732 Os
0.000 0.000 0.935 Sb
0.500 0.500 0.294 Sb
0.000 0.000 0.539 Ta
```

Summary:
Magnetic moment   0.00 Bohr magnetons per cell
V   20.44 Å³/atom
DOS at the Fermi energy   0.8925 states/eV per atom
Raw total energy   -1.956 Ha/atom



A plane-wave DFT calculation with meta-GGA SCAN was carried out for TaBePSe2 at its PBEsol-relaxed geometry.

Structure (POSCAR):
```
TaBePSe2
1.0
-1.180 1.779 -3.526
2.075 -2.853 -2.133
-4.072 -2.890 -0.095
P Be Se Ta
1 1 2 1
direct
0.500 0.500 0.500 P
0.000 0.000 0.000 Be
0.000 0.500 0.000 Se
0.500 0.000 0.000 Se
0.000 0.000 0.500 Ta
```

Summary:
Magnetic moment   0.00 Bohr magnetons per cell
V   16.97 Å³/atom
DOS at the Fermi energy   0.7264 states/eV per atom
Raw total energy   -0.858 Ha/atom



A plane-wave DFT calculation with meta-GGA SCAN was carried out for ZrAl2SbI at its PBEsol-relaxed geometry.

Structure (POSCAR):
```
ZrAl2SbI
1.0
5.271 0.000 0.000
0.000 5.271 0.000
0.000 0.000 5.266
I Sb Al Zr
1 1 2 1
direct
0.000 0.000 0.000 I
0.500 0.500 0.500 Sb
0.000 0.500 0.000 Al
0.500 0.000 0.000 Al
0.000 0.000 0.500 Zr
```

Summary:
Magnetic moment   0.00 Bohr magnetons per cell
V   29.26 Å³/atom
DOS at the Fermi energy   0.9070 states/eV per atom
Raw total energy   -0.841 Ha/atom



A plane-wave DFT calculation with meta-GGA SCAN was carried out for BeCu2F at its PBEsol-relaxed geometry.

Structure (POSCAR):
```
BeCu2F
1.0
-2.509 2.522 1.604
-1.917 -0.961 3.260
0.884 1.754 3.372
Be Cu F
1 2 1
direct
0.000 0.000 0.000 Be
0.250 0.250 0.250 Cu
0.750 0.750 0.750 Cu
0.500 0.500 0.500 F
```

Summary:
Magnetic moment   0.00 Bohr magnetons per cell
V   10.50 Å³/atom
DOS at the Fermi energy   0.4150 states/eV per atom
Raw total energy   -0.352 Ha/atom



A plane-wave DFT calculation with meta-GGA SCAN was carried out for MoP2OsCl at its PBEsol-relaxed geometry.

Structure (POSCAR):
```
MoP2OsCl
1.0
4.465 0.000 0.000
0.000 4.658 0.000
0.000 0.000 4.658
P Mo Os Cl
2 1 1 1
direct
0.000 0.000 0.500 P
0.000 0.500 0.000 P
0.000 0.000 0.000 Mo
0.500 0.500 0.500 Os
0.500 0.000 0.000 Cl
```

Summary:
Magnetic moment   3.21 Bohr magnetons per cell
V   19.38 Å³/atom
DOS at the Fermi energy   0.6257 states/eV per atom
Raw total energy   -0.945 Ha/atom



A plane-wave DFT calculation with meta-GGA SCAN was carried out for BeIn2Os at its PBEsol-relaxed geometry.

Structure (POSCAR):
```
BeIn2Os
1.0
-3.571 -0.571 -0.178
0.685 -4.063 -0.706
1.350 1.551 4.761
Be Os In
1 1 2
direct
0.802 0.302 0.603 Be
0.457 0.457 0.914 Os
0.007 0.007 0.014 In
0.234 0.734 0.468 In
```

Summary:
Magnetic moment   0.00 Bohr magnetons per cell
Energy relative to the elements   289 meV per atom
V   16.60 Å³/atom
DOS at the Fermi energy   0.3139 states/eV per atom
Raw total energy   -1.303 Ha/atom



A plane-wave DFT calculation with meta-GGA SCAN was carried out for Sr3Sn13Ir4 at its PBEsol-relaxed geometry.

Structure (POSCAR):
```
Sr3Sn13Ir4
1.0
9.778 0.000 0.000
0.000 9.778 0.000
0.000 0.000 9.778
Sr Sn Ir
6 26 8
direct
0.500 0.000 0.750 Sr
0.000 0.250 0.500 Sr
0.750 0.500 0.000 Sr
0.500 0.000 0.250 Sr
0.000 0.750 0.500 Sr
0.250 0.500 0.000 Sr
0.500 0.500 0.500 Sn
0.000 0.000 0.000 Sn
0.652 0.199 0.500 Sn
0.801 0.500 0.652 Sn
0.500 0.348 0.801 Sn
0.348 0.801 0.500 Sn
0.199 0.500 0.348 Sn
0.500 0.652 0.199 Sn
0.652 0.801 0.500 Sn
0.801 0.500 0.348 Sn
0.348 0.199 0.500 Sn
0.199 0.500 0.652 Sn
0.500 0.652 0.801 Sn
0.500 0.348 0.199 Sn
0.152 0.000 0.699 Sn
0.301 0.152 0.000 Sn
0.000 0.301 0.848 Sn
0.848 0.000 0.301 Sn
0.699 0.848 0.000 Sn
0.000 0.699 0.152 Sn
0.152 0.000 0.301 Sn
0.301 0.848 0.000 Sn
0.848 0.000 0.699 Sn
0.699 0.152 0.000 Sn
0.000 0.301 0.152 Sn
0.000 0.699 0.848 Sn
0.750 0.250 0.750 Ir
0.250 0.750 0.250 Ir
0.750 0.750 0.250 Ir
0.250 0.250 0.750 Ir
0.250 0.750 0.750 Ir
0.750 0.250 0.250 Ir
0.250 0.250 0.250 Ir
0.750 0.750 0.750 Ir
```

Summary:
Magnetic moment   0.00 Bohr magnetons per cell
Energy relative to the elements   -502 meV per atom
V   23.37 Å³/atom
DOS at the Fermi energy   0.4081 states/eV per atom
Raw total energy   -1.522 Ha/atom



A plane-wave DFT calculation with meta-GGA SCAN was carried out for CoCu3O at its PBEsol-relaxed geometry.

Structure (POSCAR):
```
CoCu3O
1.0
-2.587 -1.037 2.648
-1.048 -2.980 -2.191
2.644 -2.196 1.723
Co O Cu
1 1 3
direct
0.500 0.500 0.500 Co
0.000 0.000 0.000 O
0.000 0.500 0.000 Cu
0.000 0.000 0.500 Cu
0.500 0.000 0.000 Cu
```

Summary:
Magnetic moment   2.06 Bohr magnetons per cell
V   11.37 Å³/atom
DOS at the Fermi energy   0.3007 states/eV per atom
Raw total energy   -0.502 Ha/atom



A plane-wave DFT calculation with meta-GGA SCAN was carried out for NaTi2O3 at its PBEsol-relaxed geometry.

Structure (POSCAR):
```
NaTi2O3
1.0
-2.814 -4.160 -0.814
2.971 1.826 -3.705
7.792 -5.922 3.331
Na Ti O
4 8 12
direct
0.333 0.667 0.000 Na
0.667 0.333 0.000 Na
0.667 0.333 0.500 Na
0.333 0.667 0.500 Na
0.336 0.000 0.750 Ti
0.000 0.664 0.250 Ti
0.664 0.000 0.250 Ti
0.000 0.000 0.000 Ti
0.000 0.000 0.500 Ti
0.664 0.664 0.750 Ti
0.000 0.336 0.750 Ti
0.336 0.336 0.250 Ti
0.316 0.000 0.372 O
0.316 0.000 0.128 O
0.684 0.000 0.872 O
0.684 0.000 0.628 O
0.000 0.684 0.872 O
0.000 0.684 0.628 O
0.000 0.316 0.372 O
0.000 0.316 0.128 O
0.684 0.684 0.372 O
0.684 0.684 0.128 O
0.316 0.316 0.872 O
0.316 0.316 0.628 O
```

Summary:
Magnetic moment   0.13 Bohr magnetons per cell
V   9.66 Å³/atom
DOS at the Fermi energy   0.2614 states/eV per atom
Raw total energy   -0.435 Ha/atom



A plane-wave DFT calculation with meta-GGA SCAN was carried out for NaTh2P3O12 at its PBEsol-relaxed geometry.

Structure (POSCAR):
```
NaTh2P3O12
1.0
-2.849 4.502 -4.233
-0.049 -5.576 -5.898
-6.331 -3.688 5.809
Na Th P O
2 4 6 24
direct
0.432 0.881 0.075 Na
0.643 0.381 0.075 Na
0.754 0.469 0.689 Th
0.935 0.969 0.689 Th
0.245 0.541 0.299 Th
0.054 0.041 0.299 Th
0.391 0.820 0.613 P
0.222 0.320 0.613 P
0.897 0.743 0.999 P
0.102 0.243 0.999 P
0.599 0.196 0.372 P
0.773 0.696 0.372 P
0.784 0.567 0.961 O
0.176 0.067 0.961 O
0.727 0.177 0.542 O
0.815 0.677 0.542 O
0.261 0.834 0.439 O
0.178 0.334 0.439 O
0.395 0.081 0.298 O
0.903 0.581 0.298 O
0.551 0.385 0.398 O
0.846 0.885 0.398 O
0.592 0.936 0.680 O
0.087 0.436 0.680 O
0.728 0.169 0.266 O
0.538 0.669 0.266 O
0.782 0.887 0.058 O
0.276 0.387 0.058 O
0.119 0.758 0.134 O
0.015 0.258 0.134 O
0.256 0.846 0.713 O
0.457 0.346 0.713 O
0.924 0.756 0.843 O
0.919 0.256 0.843 O
0.444 0.631 0.587 O
0.143 0.131 0.587 O
```

Summary:
Magnetic moment   0.00 Bohr magnetons per cell
V   13.12 Å³/atom
DOS at the Fermi energy   0.0000 states/eV per atom
Raw total energy   -0.732 Ha/atom



A plane-wave DFT calculation with meta-GGA SCAN was carried out for KZrSb2 at its PBEsol-relaxed geometry.

Structure (POSCAR):
```
KZrSb2
1.0
-3.537 -0.722 1.443
-1.793 -3.348 -0.833
1.946 -5.148 7.433
K Sb Zr
1 2 1
direct
0.000 0.000 0.000 K
0.236 0.236 0.293 Sb
0.764 0.764 0.707 Sb
0.500 0.500 0.500 Zr
```

Summary:
Magnetic moment   0.00 Bohr magnetons per cell
V   29.36 Å³/atom
DOS at the Fermi energy   0.3715 states/eV per atom
Raw total energy   -1.063 Ha/atom



A plane-wave DFT calculation with meta-GGA SCAN was carried out for LaCu3Ru4O12 at its PBEsol-relaxed geometry.

Structure (POSCAR):
```
LaCu3Ru4O12
1.0
6.422 0.000 0.000
-2.141 6.055 0.000
-2.141 -3.027 5.244
La Cu Ru O
1 3 4 12
direct
0.000 0.000 0.000 La
0.000 0.500 0.500 Cu
0.500 0.500 0.000 Cu
0.500 0.000 0.500 Cu
0.500 0.000 0.000 Ru
0.500 0.500 0.500 Ru
0.000 0.500 0.000 Ru
0.000 0.000 0.500 Ru
0.827 0.307 0.134 O
0.134 0.827 0.307 O
0.693 0.520 0.827 O
0.307 0.480 0.173 O
0.866 0.173 0.693 O
0.173 0.307 0.480 O
0.173 0.693 0.866 O
0.693 0.866 0.173 O
0.827 0.693 0.520 O
0.520 0.827 0.693 O
0.307 0.134 0.827 O
0.480 0.173 0.307 O
```

Summary:
Magnetic moment   4.00 Bohr magnetons per cell
V   10.20 Å³/atom
DOS at the Fermi energy   0.3560 states/eV per atom
Raw total energy   -0.608 Ha/atom



A plane-wave DFT calculation with meta-GGA SCAN was carried out for Sr2YCl at its PBEsol-relaxed geometry.

Structure (POSCAR):
```
Sr2YCl
1.0
-2.327 -2.861 -0.191
2.296 -2.007 2.082
-5.039 3.503 8.932
Y Sr Cl
1 2 1
direct
0.000 0.000 0.492 Y
0.000 0.000 0.821 Sr
0.500 0.500 0.234 Sr
0.500 0.500 0.953 Cl
```

Summary:
Magnetic moment   0.17 Bohr magnetons per cell
V   36.95 Å³/atom
DOS at the Fermi energy   0.9943 states/eV per atom
Raw total energy   -0.762 Ha/atom



A plane-wave DFT calculation with meta-GGA SCAN was carried out for AlReSb2 at its PBEsol-relaxed geometry.

Structure (POSCAR):
```
AlReSb2
1.0
6.042 0.000 0.000
0.000 6.042 0.000
-3.021 -3.021 6.181
Re Al Sb
2 2 4
direct
0.250 0.750 0.500 Re
0.000 0.000 0.000 Re
0.750 0.250 0.500 Al
0.500 0.500 0.000 Al
0.353 0.875 0.250 Sb
0.897 0.375 0.250 Sb
0.125 0.103 0.750 Sb
0.625 0.647 0.750 Sb
```

Summary:
Magnetic moment   0.00 Bohr magnetons per cell
V   28.20 Å³/atom
DOS at the Fermi energy   0.5632 states/eV per atom
Raw total energy   -1.383 Ha/atom



A plane-wave DFT calculation with meta-GGA SCAN was carried out for K2LaTa6Br15O3 at its PBEsol-relaxed geometry.

Structure (POSCAR):
```
K2LaTa6Br15O3
1.0
-3.588 -0.606 -8.681
9.275 -0.896 1.333
-1.982 -17.490 2.040
K La Ta Br O
4 2 12 30 6
direct
0.333 0.667 0.467 K
0.667 0.333 0.533 K
0.333 0.667 0.033 K
0.667 0.333 0.967 K
0.667 0.333 0.250 La
0.333 0.667 0.750 La
0.826 0.016 0.315 Ta
0.174 0.984 0.685 Ta
0.190 0.174 0.315 Ta
0.826 0.810 0.185 Ta
0.810 0.826 0.685 Ta
0.174 0.190 0.815 Ta
0.984 0.810 0.315 Ta
0.190 0.016 0.185 Ta
0.016 0.190 0.685 Ta
0.810 0.984 0.815 Ta
0.984 0.174 0.185 Ta
0.016 0.826 0.815 Ta
0.569 0.785 0.250 Br
0.431 0.215 0.750 Br
0.215 0.431 0.250 Br
0.785 0.569 0.750 Br
0.215 0.785 0.250 Br
0.785 0.215 0.750 Br
0.018 0.224 0.416 Br
0.982 0.776 0.584 Br
0.206 0.982 0.416 Br
0.018 0.794 0.084 Br
0.794 0.018 0.584 Br
0.982 0.206 0.916 Br
0.776 0.794 0.416 Br
0.206 0.224 0.084 Br
0.224 0.206 0.584 Br
0.794 0.776 0.916 Br
0.776 0.982 0.084 Br
0.224 0.018 0.916 Br
0.600 0.069 0.387 Br
0.400 0.931 0.613 Br
0.469 0.400 0.387 Br
0.600 0.531 0.113 Br
0.531 0.600 0.613 Br
0.400 0.469 0.887 Br
0.931 0.531 0.387 Br
0.469 0.069 0.113 Br
0.069 0.469 0.613 Br
0.531 0.931 0.887 Br
0.931 0.400 0.113 Br
0.069 0.600 0.887 Br
0.365 0.183 0.250 O
0.635 0.817 0.750 O
0.817 0.635 0.250 O
0.183 0.365 0.750 O
0.817 0.183 0.250 O
0.183 0.817 0.750 O
```

Summary:
Magnetic moment   0.00 Bohr magnetons per cell
V   25.18 Å³/atom
Raw total energy   -1.107 Ha/atom



A plane-wave DFT calculation with meta-GGA SCAN was carried out for OsRh2Au at its PBEsol-relaxed geometry.

Structure (POSCAR):
```
OsRh2Au
1.0
-2.621 -0.199 -0.723
-1.001 -2.387 -0.856
-3.372 -2.978 7.910
Os Au Rh
1 1 2
direct
0.000 0.000 0.000 Os
0.500 0.500 0.500 Au
0.255 0.255 0.236 Rh
0.745 0.745 0.764 Rh
```

Summary:
Magnetic moment   0.00 Bohr magnetons per cell
Energy relative to the elements   87 meV per atom
V   14.42 Å³/atom
DOS at the Fermi energy   0.8783 states/eV per atom
Raw total energy   -1.913 Ha/atom